DFT (PBE with a Hubbard U) results for crystalline Mn2GaPbO6 at its relaxed geometry.

abc: 5.2996 5.3000 5.7396
angles: 62.50 62.51 60.00
With the nearest neighbours (Å) after each atom.
Fractional positions:
O 0.3396 0.7348 0.7627  1 Mn 1.95, 1 Ga 2.09
O 0.6193 0.2302 0.2184  1 Ga 2.00, 2 Mn 2.00-2.11
O 0.2302 0.9321 0.2184  1 Ga 2.00, 2 Mn 2.00-2.11
O 0.1630 0.3396 0.7627  1 Mn 1.95, 1 Ga 2.09
O 0.9321 0.6193 0.2184  1 Ga 2.00, 2 Mn 2.00-2.11
O 0.7348 0.1629 0.7628  1 Mn 1.95, 1 Ga 2.09
Mn 0.0080 0.0080 0.9759  6 O 1.95-2.00
Mn 0.5254 0.5254 0.4238  6 O 2.11-2.26
Pb 0.7930 0.7930 0.6210  6 O 2.29-2.54
Ga 0.3163 0.3163 0.0512  6 O 2.00-2.09

Values from the calculation:
- Space-group type: R3, No. 146
- Total magnetic moment: 7.241 μB per cell
- Total DFT energy (no corrections): -65.51 eV/cell